[1]
The following is a DFT calculation (PBE) of a geometry-optimized BeNiBiAu structure.

Computed properties:
As for the total energy: -3.82 eV per atom. As for the volume: 264.9 Å³/cell.

```
16
Lattice="6.4226 0.0000 0.0000 0.0000 6.4226 0.0000 0.0000 0.0000 6.4226" Properties=species:S:1:pos:R:3 pbc="T T T"
Be 0.0000 0.0000 0.0000
Be 0.0000 3.2113 3.2113
Be 3.2113 0.0000 3.2113
Be 3.2113 3.2113 0.0000
Ni 0.0000 0.0000 3.2113
Ni 0.0000 3.2113 0.0000
Ni 3.2113 0.0000 0.0000
Ni 3.2113 3.2113 3.2113
Bi 1.6056 1.6056 1.6056
Bi 1.6056 4.8169 4.8169
Bi 4.8169 1.6056 4.8169
Bi 4.8169 4.8169 1.6056
Au 1.6056 1.6056 4.8169
Au 1.6056 4.8169 1.6056
Au 4.8169 1.6056 1.6056
Au 4.8169 4.8169 4.8169
```

[2]
The following is a DFT calculation (PBE) of a geometry-optimized SmCdB structure.

Computed properties:
As for the total energy: -4.12 eV per atom. As for the volume: 242.5 Å³/cell.

```
12
Lattice="6.2361 0.0000 0.0000 0.0000 6.2361 0.0000 0.0000 0.0000 6.2361" Properties=species:S:1:pos:R:3 pbc="T T T"
Sm 0.0000 0.0000 0.0000
Sm 0.0000 3.1180 3.1180
Sm 3.1180 0.0000 3.1180
Sm 3.1180 3.1180 0.0000
Cd 0.0000 0.0000 3.1180
Cd 0.0000 3.1180 0.0000
Cd 3.1180 0.0000 0.0000
Cd 3.1180 3.1180 3.1180
B 1.5590 1.5590 4.6771
B 1.5590 4.6771 1.5590
B 4.6771 1.5590 1.5590
B 4.6771 4.6771 4.6771
```

Number 1: calculated density 11.88 g/cm3. Number 2: calculated density 7.49 g/cm3.